Below is an optimized crystal structure of Zr2TiAgF, with properties calculated at the PBE level.

Cell and atoms, written as POSCAR:
```
Zr2TiAgF
1.0
5.389 0.000 0.000
0.000 5.389 0.000
0.000 0.000 4.042
Zr Ti Ag F
2 1 1 1
direct
0.000 0.500 0.000
0.500 0.000 0.000
0.000 0.000 0.500
0.500 0.500 0.000
0.500 0.500 0.500
```

formation energy (no corrections): 0.71 eV/atom
magnetization: 3.32 Bohr magnetons per cell
space-group type: P4/mmm, No. 123